# 1
Material: Si2TeIr
Method: DFT, SCAN
State: single point on PBEsol structure

Cell lengths 3.8614, 3.8614, 17.0280 Å; angles 90.00, 90.00, 120.00 degrees
With the nearest neighbours (Å) after each atom.
Space group R3m (No. 160, hexagonal axes)
One atom of each set of equivalent atoms:
Si (0.0000, 0.0000, 0.0000) (multiplicity 3)  3 Si 2.49
Si (0.0000, 0.0000, 0.2677) (multiplicity 3)  3 Ir 2.40, 3 Si 2.49
Te (0.0000, 0.0000, 0.7884) (multiplicity 3)  3 Ir 2.74, 3 Si 3.04
Ir (0.0000, 0.0000, 0.5483) (multiplicity 3)  3 Si 2.40

Raw total energy (eV per atom): -31.98
Formation energy (no corrections) (kJ per mole of atoms): 10.7

# 2
Material: NaCr2Si2
Method: DFT, SCAN
State: single point on PBEsol structure

Cell lengths 4.4331, 4.4331, 7.8156 Å; angles 90.00, 90.00, 90.00 degrees
With the nearest neighbours (Å) after each atom.
Space group I4/mmm (No. 139)
One atom of each set of equivalent atoms:
Na (0.0000, 0.0000, 0.0000) (multiplicity 2)  2 Cr 2.93, 8 Si 2.95
Cr (0.0000, 0.0000, 0.3748) (multiplicity 4)  1 Cr 1.96
Si (0.0000, 0.5000, 0.2500) (multiplicity 4)  4 Cr 2.42

Raw total energy (eV per atom): -11.76
Formation energy (no corrections) (kJ per mole of atoms): 43.1

# 3
Material: TiP2S6
Method: DFT, SCAN
State: single point on PBEsol structure

Cell lengths 7.7457, 11.2575, 20.9848 Å; angles 90.00, 90.00, 90.00 degrees
With the nearest neighbours (Å) after each atom.
Space group Fdd2 (No. 43)
One atom of each set of equivalent atoms:
Ti (0.0000, 0.0000, 0.0000) (multiplicity 8)  6 S 2.41-2.43
P (0.1099, 0.0636, 0.1636) (multiplicity 16)  3 S 2.02-2.04, 1 P 2.22
S (0.0136, 0.2296, 0.1744) (multiplicity 16)  1 P 2.02
S (0.0218, 0.2142, 0.9872) (multiplicity 16)  1 P 2.02
S (0.0259, 0.2746, 0.3287) (multiplicity 16)  1 P 2.04

Raw total energy (eV per atom): -11.21
Formation energy (no corrections) (kJ per mole of atoms): -67.7

# 4
Material: Sc2PtW
Method: DFT, SCAN
State: single point on PBEsol structure

Cell lengths 2.9404, 2.9404, 8.0637 Å; angles 90.00, 90.00, 90.00 degrees
With the nearest neighbours (Å) after each atom.
Space group P4/mmm (No. 123)
One atom of each set of equivalent atoms:
Sc (0.0000, 0.0000, 0.2354) (multiplicity 2)  4 Pt 2.82, 4 Sc 2.94, 4 W 2.98
Pt (0.5000, 0.5000, 0.0000) (multiplicity 1)  8 Sc 2.82, 4 Pt 2.94
W (0.5000, 0.5000, 0.5000) (multiplicity 1)  4 W 2.94, 8 Sc 2.98

Raw total energy (eV per atom): -42.55
Energy relative to the elements (eV per atom): -0.465
Polymorph energy (0 for the lowest one) (meV per atom): 0

# 5
Material: LiY2Si
Method: DFT, SCAN
State: single point on PBEsol structure

Cell lengths 4.7373, 4.7373, 3.8501 Å; angles 90.00, 90.00, 90.00 degrees
With the nearest neighbours (Å) after each atom.
Space group P4/mmm (No. 123)
One atom of each set of equivalent atoms:
Li (0.0000, 0.0000, 0.0000) (multiplicity 1)  8 Y 3.05, 4 Si 3.35
Y (0.0000, 0.5000, 0.5000) (multiplicity 2)  4 Li 3.05, 4 Si 3.05, 4 Y 3.35
Si (0.5000, 0.5000, 0.0000) (multiplicity 1)  8 Y 3.05, 4 Li 3.35

Raw total energy (eV per atom): -17.42
Formation energy (no corrections) (kJ per mole of atoms): -38.1

# 6
Material: Ta2BeCd
Method: DFT, SCAN
State: single point on PBEsol structure

Cell lengths 3.7553, 4.1815, 8.0853 Å; angles 90.00, 90.00, 90.00 degrees
With the nearest neighbours (Å) after each atom.
Space group Cmm2 (No. 35)
One atom of each set of equivalent atoms:
Ta (0.0000, 0.0000, 0.0000) (multiplicity 2)  4 Be 2.54-2.70, 4 Ta 2.81
Ta (0.0000, 0.5000, 0.2855) (multiplicity 2)  8 Ta 2.81-3.11, 4 Cd 3.00-3.13
Be (0.0000, 0.5000, 0.7892) (multiplicity 2)  4 Ta 2.54-2.70, 4 Cd 2.56-2.72, 4 Be 2.81
Cd (0.0000, 0.0000, 0.5743) (multiplicity 2)  4 Be 2.56-2.72, 4 Cd 2.81

Raw total energy (eV per atom): -41.84
Energy relative to the elements (eV per atom): 0.147
Polymorph energy (0 for the lowest one) (meV per atom): 0

# 7
Material: Ba3GeSb
Method: DFT, SCAN
State: single point on PBEsol structure

Cell lengths 6.0960, 6.0960, 6.0960 Å; angles 90.00, 90.00, 90.00 degrees
With the nearest neighbours (Å) after each atom.
Space group Pm-3m (No. 221)
One atom of each set of equivalent atoms:
Ba (0.0000, 0.0000, 0.5000) (multiplicity 3)  2 Ge 3.05
Ge (0.0000, 0.0000, 0.0000) (multiplicity 1)  6 Ba 3.05
Sb (0.5000, 0.5000, 0.5000) (multiplicity 1)  12 Ba 4.31

Raw total energy (eV per atom): -35.50
Formation energy (no corrections) (kJ per mole of atoms): -48.0
Polymorph energy (0 for the lowest one) (meV per atom): 0

# 8
Material: ScCrNi6
Method: DFT, SCAN
State: single point on PBEsol structure

Cell lengths 7.1151, 10.0830, 10.1084 Å; angles 90.00, 90.00, 90.00 degrees
With the nearest neighbours (Å) after each atom.
Space group Cmmm (No. 65)
One atom of each set of equivalent atoms:
Sc (0.0000, 0.0000, 0.2489) (multiplicity 4)  12 Ni 2.52-2.59
Sc (0.0000, 0.2466, 0.5000) (multiplicity 4)  12 Ni 2.49-2.64
Cr (0.0000, 0.2436, 0.0000) (multiplicity 4)  12 Ni 2.42-2.59
Cr (0.0000, 0.5000, 0.2488) (multiplicity 4)  12 Ni 2.43-2.54
Ni (0.0000, 0.0000, 0.0000) (multiplicity 2)  2 Cr 2.46, 2 Sc 2.52, 8 Ni 2.54
Ni (0.0000, 0.0000, 0.5000) (multiplicity 2)  4 Sc 2.49-2.54, 8 Ni 2.59
Ni (0.0000, 0.2554, 0.2389) (multiplicity 8)  8 Ni 2.41-2.63, 2 Cr 2.42-2.47, 2 Sc 2.58-2.64
Ni (0.0000, 0.5000, 0.0000) (multiplicity 2)  8 Ni 2.47, 4 Cr 2.52-2.59
Ni (0.0000, 0.5000, 0.5000) (multiplicity 2)  8 Ni 2.50, 2 Cr 2.54, 2 Sc 2.55
Ni (0.2404, 0.3771, 0.3684) (multiplicity 16)  1 Cr 2.43, 8 Ni 2.48-2.66, 3 Sc 2.53-2.60
Ni (0.2428, 0.3724, 0.1197) (multiplicity 16)  8 Ni 2.41-2.57, 3 Cr 2.48-2.52, 1 Sc 2.59

Raw total energy (eV per atom): -16.40
Energy relative to the elements (eV per atom): -0.188